Entry from Alexandria via LeMat-Bulk: KYMg2Ni at its PBEsol-relaxed geometry (SCAN).

Cell and atoms, written as POSCAR:
```
KYMg2Ni
1.0
5.1614 0.0000 0.0000
0.0000 5.1614 0.0000
0.0000 0.0000 4.9785
K Y Mg Ni
1 1 2 1
direct
0.0000 0.0000 0.0000
0.5000 0.5000 0.0000
0.0000 0.5000 0.5000
0.5000 0.0000 0.5000
0.5000 0.5000 0.5000
```

Values from the calculation:
Space-group type ... P4/mmm (123)
Fermi-level density of states ... 0.527 states/eV/atom
ΔH_f (0 K) ... 17 kJ/mol of formula units